## Ce2Zn2Co15 (PBE-GGA)

Data for crystalline Ce2Zn2Co15 at its relaxed geometry.

a b c (Å): 8.3775 8.3775 12.1596
angles (deg): 90.00 90.00 120.00
Space group R-3m (No. 166, hexagonal axes)
Inequivalent atoms, fractional coordinates:
Ce  0.0000  0.0000  0.1494 (multiplicity 6)
Zn  0.0000  0.0000  0.3979 (multiplicity 6)
Co  0.0000  0.2885  0.5000 (multiplicity 18)
Co  0.0000  0.5000  0.0000 (multiplicity 9)
Co  0.9996  0.4998  0.3511 (multiplicity 18)

- DOS(E_F) (states/eV per atom) = 1.322
- calculated total energy (eV/atom) = -6.45
- M_tot (μB/cell) = 55.0
- E_form (eV/atom) = -0.09

=====

## Ce2ZnCo3 (PBE-GGA)

Data for crystalline Ce2ZnCo3 at its relaxed geometry.

a b c (Å): 5.2645 5.2645 7.8517
angles (deg): 90.00 90.00 120.00
Space group P6_3/mmc (No. 194)
Inequivalent atoms, fractional coordinates:
Ce  0.3333  0.6667  0.0646 (multiplicity 4)
Zn  0.0000  0.0000  0.0000 (multiplicity 2)
Co  0.1681  0.3361  0.7500 (multiplicity 6)

- DOS(E_F) (states/eV per atom) = 1.362
- calculated total energy (eV/atom) = -5.95
- M_tot (μB/cell) = 0.0
- E_form (eV/atom) = -0.21

=====

## Ce2ZrCo16 (PBE-GGA)

Data for crystalline Ce2ZrCo16 at its relaxed geometry.

a b c (Å): 8.3833 8.3833 8.2205
angles (deg): 90.00 90.00 120.00
Space group P-3m1 (No. 164)
Inequivalent atoms, fractional coordinates:
Ce  0.0000  0.0000  0.2496 (multiplicity 2)
Ce  0.3333  0.6667  0.2703 (multiplicity 2)
Zr  0.3333  0.6667  0.8868 (multiplicity 2)
Co  0.0000  0.5000  0.0000 (multiplicity 3)
Co  0.0000  0.5000  0.5000 (multiplicity 3)
Co  0.0365  0.3638  0.7486 (multiplicity 12)
Co  0.1626  0.3251  0.0268 (multiplicity 6)
Co  0.1660  0.3321  0.4863 (multiplicity 6)
Co  0.3333  0.6667  0.5900 (multiplicity 2)

- DOS(E_F) (states/eV per atom) = 1.450
- calculated total energy (eV/atom) = -7.17
- M_tot (μB/cell) = 38.0
- E_form (eV/atom) = -0.11

=====

## CeZr2Co2 (PBE-GGA)

Data for crystalline CeZr2Co2 at its relaxed geometry.

a b c (Å): 3.537 5.936 8.764
angles (deg): 90.00 90.00 90.00
Space group Immm (No. 71)
Inequivalent atoms, fractional coordinates:
Ce  0.000  0.000  0.000 (multiplicity 2)
Zr  0.000  0.500  0.194 (multiplicity 4)
Co  0.000  0.209  0.500 (multiplicity 4)

- DOS(E_F) (states/eV per atom) = 0.988
- calculated total energy (eV/atom) = -7.68
- M_tot (μB/cell) = 0.0
- E_form (eV/atom) = -0.23